# 1
NbSnMo2: optimized geometry, GGA-PBE.

Structure (POSCAR):
```
NbSnMo2
1.0
-2.8405 1.4168 -1.3857
-2.1728 -0.5450 3.8967
1.3760 4.0651 1.3357
Nb Mo Sn
1 2 1
Direct
0.5000 0.5000 0.5000
0.0000 0.0000 0.5000
0.0000 0.5000 0.0000
0.5000 0.0000 0.0000
```

Size of the total moment   0.2 μB per formula unit
Electronic total energy   -8.843 eV per atom
Space-group type   P4/mmm (123)
ΔE_f   0.091 eV/atom


# 2
Nb6SnMo: optimized geometry, GGA-PBE.

Structure (POSCAR):
```
Nb6SnMo
1.0
7.4638 0.0063 0.0696
3.7240 6.4625 0.0087
3.6978 2.1669 3.0716
Nb Sn Mo
6 1 1
Direct
0.9999 0.4998 0.7423
0.4999 0.2423 0.2581
0.0001 0.5002 0.2577
0.7579 0.9999 0.7415
0.2421 0.0001 0.2585
0.5001 0.7577 0.7419
0.5000 0.5000 0.5000
0.0000 0.0000 0.0000
```

Polymorph energy (0 for the lowest one)   0.000 eV/atom
Size of the total moment   0.0 μB per formula unit
Electronic total energy   -9.523 eV per atom
Space-group type   Pm-3 (200)
ΔE_f   -0.117 eV/atom


# 3
NbSn3Mo: optimized geometry, GGA-PBE.

Structure (POSCAR):
```
NbSn3Mo
1.0
5.2097 0.0000 0.0000
0.0000 5.2097 0.0000
0.0000 0.0000 5.2097
Nb Mo Sn
1 1 3
Direct
0.5000 0.5000 0.5000
0.0000 0.0000 0.0000
0.0000 0.5000 0.0000
0.5000 0.0000 0.0000
0.0000 0.0000 0.5000
```

Polymorph energy (0 for the lowest one)   0.000 eV/atom
Size of the total moment   4.5 μB per formula unit
Electronic total energy   -5.539 eV per atom
Space-group type   Pm-3m (221)
ΔE_f   1.043 eV/atom


# 4
Nb3SnMo: optimized geometry, GGA-PBE.

Structure (POSCAR):
```
Nb3SnMo
1.0
-1.9668 -4.4714 -2.8955
7.2406 -3.7701 -1.5576
-1.0242 -5.2580 6.3538
Mo Sn Nb
4 4 12
Direct
0.7500 0.9148 0.0852
0.2500 0.0852 0.9148
0.7500 0.1335 0.8665
0.2500 0.8665 0.1335
0.4820 0.5313 0.6825
0.0180 0.3175 0.4687
0.5180 0.4687 0.3175
0.9820 0.6825 0.5313
0.4038 0.1340 0.2583
0.9580 0.4198 0.8135
0.5420 0.1865 0.5802
0.5971 0.6368 0.0099
0.5962 0.8660 0.7417
0.9038 0.2583 0.1340
0.0420 0.5802 0.1865
0.0962 0.7417 0.8660
0.4029 0.3631 0.9901
0.0971 0.0099 0.6368
0.9029 0.9901 0.3631
0.4580 0.8135 0.4198
```

Polymorph energy (0 for the lowest one)   0.000 eV/atom
Size of the total moment   0.0 μB per formula unit
Electronic total energy   -8.893 eV per atom
Space-group type   C2/c (15)
ΔE_f   0.116 eV/atom


# 5
TiNbSnMo: optimized geometry, GGA-PBE.

Structure (POSCAR):
```
TiNbSnMo
1.0
-3.2525 2.1382 2.5241
-4.0516 -2.1038 0.8245
-0.9972 -1.5219 4.2675
Nb Mo Ti Sn
1 1 1 1
Direct
0.7500 0.7500 0.7500
0.0000 0.0000 0.0000
0.5000 0.5000 0.5000
0.2500 0.2500 0.2500
```

Size of the total moment   0.3 μB per formula unit
Electronic total energy   -8.317 eV per atom
Space-group type   F-43m (216)
ΔE_f   -0.118 eV/atom


# 6
SrNb2Mo: optimized geometry, GGA-PBE.

Structure (POSCAR):
```
SrNb2Mo
1.0
5.1526 0.0000 0.0000
0.0000 5.1526 0.0000
2.5763 2.5763 8.8819
Nb Mo Sr
4 2 2
Direct
0.8750 0.1248 0.7500
0.8752 0.6250 0.2500
0.8748 0.1250 0.2500
0.3750 0.1252 0.7500
0.7500 0.2500 0.5000
0.0000 0.0000 0.0000
0.5000 0.5000 0.0000
0.2500 0.7500 0.5000
```

Polymorph energy (0 for the lowest one)   0.419 eV/atom
Size of the total moment   0.0 μB per formula unit
Electronic total energy   -6.858 eV per atom
Space-group type   I4_1/amd (141)
ΔE_f   1.305 eV/atom


# 7
SrNb3Mo: optimized geometry, GGA-PBE.

Structure (POSCAR):
```
SrNb3Mo
1.0
-3.4032 -2.2854 2.8385
3.6061 -1.5523 3.0738
-0.5252 4.1508 2.7124
Sr Nb Mo
1 3 1
Direct
0.5000 0.5000 0.5000
0.0000 0.5000 0.0000
0.0000 0.0000 0.5000
0.5000 0.0000 0.0000
0.0000 0.0000 0.0000
```

Polymorph energy (0 for the lowest one)   0.000 eV/atom
Size of the total moment   0.0 μB per formula unit
Electronic total energy   -7.572 eV per atom
Space-group type   Pm-3m (221)
ΔE_f   0.973 eV/atom


# 8
Sr3NbMo: optimized geometry, GGA-PBE.

Structure (POSCAR):
```
Sr3NbMo
1.0
5.6729 0.0000 0.0000
0.0000 5.6729 0.0000
0.0000 0.0000 5.6729
Sr Mo Nb
3 1 1
Direct
0.0000 0.5000 0.0000
0.5000 0.0000 0.0000
0.0000 0.0000 0.5000
0.5000 0.5000 0.5000
0.0000 0.0000 0.0000
```

Polymorph energy (0 for the lowest one)   0.286 eV/atom
Size of the total moment   0.0 μB per formula unit
Electronic total energy   -3.182 eV per atom
Space-group type   Pm-3m (221)
ΔE_f   2.007 eV/atom


# 9
SrNb3Mo: optimized geometry, GGA-PBE.

Structure (POSCAR):
```
SrNb3Mo
1.0
-2.2624 -3.4869 2.3493
0.8639 -2.9965 -3.6154
4.1148 -1.2881 2.0508
Nb Mo Sr
3 1 1
Direct
0.0000 0.0000 0.5000
0.5000 0.0000 0.0000
0.0000 0.5000 0.0000
0.5000 0.5000 0.5000
0.0000 0.0000 0.0000
```

Polymorph energy (0 for the lowest one)   1.828 eV/atom
Size of the total moment   0.0 μB per formula unit
Electronic total energy   -5.743 eV per atom
Space-group type   Pm-3m (221)
ΔE_f   2.801 eV/atom


# 10
Sr3NbMo: optimized geometry, GGA-PBE.

Structure (POSCAR):
```
Sr3NbMo
1.0
-2.3382 2.6576 4.4289
2.4755 -3.6902 3.5213
4.5332 3.3860 0.3615
Sr Mo Nb
3 1 1
Direct
0.5000 0.0000 0.0000
0.0000 0.5000 0.0000
0.0000 0.0000 0.5000
0.0000 0.0000 0.0000
0.5000 0.5000 0.5000
```

Polymorph energy (0 for the lowest one)   0.000 eV/atom
Size of the total moment   0.7 μB per formula unit
Electronic total energy   -3.467 eV per atom
Space-group type   Pm-3m (221)
ΔE_f   1.722 eV/atom


# 11
Sr2NbMo2: optimized geometry, GGA-PBE.

Structure (POSCAR):
```
Sr2NbMo2
1.0
-6.6435 -6.3567 -0.1527
2.7126 -3.0331 8.2468
-1.7307 1.7794 1.2237
Mo Sr Nb
4 4 2
Direct
0.6863 0.8137 0.5000
0.8137 0.3137 0.5000
0.1863 0.6863 0.5000
0.3137 0.1863 0.5000
0.6196 0.1196 0.0000
0.3804 0.8804 0.0000
0.1196 0.3804 0.0000
0.8804 0.6196 0.0000
0.0000 0.0000 0.0000
0.5000 0.5000 0.0000
```

Polymorph energy (0 for the lowest one)   0.569 eV/atom
Size of the total moment   0.0 μB per formula unit
Electronic total energy   -5.392 eV per atom
Space-group type   P4/mbm (127)
ΔE_f   1.627 eV/atom


# 12
Sr2NbMo2: optimized geometry, GGA-PBE.

Structure (POSCAR):
```
Sr2NbMo2
1.0
3.5007 0.0000 0.0000
0.0000 3.5007 0.0000
1.7504 1.7504 11.2518
Sr Mo Nb
2 2 1
Direct
0.6119 0.6119 0.7762
0.3881 0.3881 0.2238
0.7500 0.2500 0.5000
0.2500 0.7500 0.5000
0.0000 0.0000 0.0000
```

Polymorph energy (0 for the lowest one)   0.000 eV/atom
Size of the total moment   0.5 μB per formula unit
Electronic total energy   -5.961 eV per atom
Space-group type   I4/mmm (139)
ΔE_f   1.059 eV/atom


# 13
SrNb2Mo: optimized geometry, GGA-PBE.

Structure (POSCAR):
```
SrNb2Mo
1.0
0.0000 3.4321 3.4321
3.4321 0.0000 3.4321
3.4321 3.4321 0.0000
Mo Sr Nb
1 1 2
Direct
0.5000 0.5000 0.5000
0.0000 0.0000 0.0000
0.2500 0.2500 0.2500
0.7500 0.7500 0.7500
```

Polymorph energy (0 for the lowest one)   0.000 eV/atom
Size of the total moment   0.0 μB per formula unit
Electronic total energy   -7.277 eV per atom
Space-group type   Fm-3m (225)
ΔE_f   0.886 eV/atom


# 14
SrTaNbMo2: optimized geometry, GGA-PBE.

Structure (POSCAR):
```
SrTaNbMo2
1.0
-0.8465 1.6872 4.3846
0.5530 -4.8046 1.9555
4.6707 0.7821 0.6008
Mo Ta Nb Sr
2 1 1 1
Direct
0.5000 0.0000 0.0000
0.0000 0.0000 0.5000
0.5000 0.5000 0.5000
0.0000 0.0000 0.0000
0.0000 0.5000 0.0000
```

Size of the total moment   0.0 μB per formula unit
Electronic total energy   -7.004 eV per atom
Space-group type   P4/mmm (123)
ΔE_f   2.050 eV/atom


# 15
SrNbZn2Mo: optimized geometry, GGA-PBE.

Structure (POSCAR):
```
SrNbZn2Mo
1.0
-1.7937 -4.4989 1.0239
4.5958 -1.8395 -0.0314
0.4008 0.9205 4.7466
Zn Nb Sr Mo
2 1 1 1
Direct
0.0000 0.5000 0.0000
0.5000 0.0000 0.0000
0.5000 0.5000 0.5000
0.0000 0.0000 0.0000
0.0000 0.0000 0.5000
```

Polymorph energy (0 for the lowest one)   1.561 eV/atom
Size of the total moment   0.0 μB per formula unit
Electronic total energy   -2.791 eV per atom
Space-group type   P4/mmm (123)
ΔE_f   2.235 eV/atom


# 16
SrNbZn2Mo: optimized geometry, GGA-PBE.

Structure (POSCAR):
```
SrNbZn2Mo
1.0
5.2103 0.0000 0.0000
0.0000 4.7300 0.0000
0.0000 0.0000 5.2103
Zn Sr Nb Mo
2 1 1 1
Direct
0.0000 0.0000 0.5000
0.5000 0.0000 0.0000
0.5000 0.5000 0.5000
0.0000 0.0000 0.0000
0.0000 0.5000 0.0000
```

Polymorph energy (0 for the lowest one)   0.000 eV/atom
Size of the total moment   1.0 μB per formula unit
Electronic total energy   -4.352 eV per atom
Space-group type   P4/mmm (123)
ΔE_f   0.675 eV/atom


# 17
Ta6Nb6Mo: optimized geometry, GGA-PBE.

Structure (POSCAR):
```
Ta6Nb6Mo
1.0
5.2640 0.0000 0.0000
-2.6320 4.5588 0.0000
0.0000 0.0000 10.3358
Nb Ta Mo
6 6 1
Direct
0.5000 0.5000 0.7561
0.0000 0.5000 0.7561
0.5000 0.0000 0.2439
0.5000 0.0000 0.7561
0.0000 0.5000 0.2439
0.5000 0.5000 0.2439
0.6667 0.3333 0.0000
0.0000 0.0000 0.3744
0.3333 0.6667 0.0000
0.0000 0.0000 0.6256
0.6667 0.3333 0.5000
0.3333 0.6667 0.5000
0.0000 0.0000 0.0000
```

Size of the total moment   0.0 μB per formula unit
Electronic total energy   -10.533 eV per atom
Space-group type   P6/mmm (191)
ΔE_f   0.418 eV/atom


# 18
Ta5NbMo6: optimized geometry, GGA-PBE.

Structure (POSCAR):
```
Ta5NbMo6
1.0
4.3872 0.0168 -1.2837
-0.8854 5.6679 -2.9515
-0.0813 0.4324 7.9057
Mo Nb Ta
6 1 5
Direct
0.8335 0.5835 0.6668
0.5000 0.7502 0.0000
0.1665 0.4165 0.3332
0.5000 0.2498 0.0000
0.1666 0.9166 0.3332
0.8334 0.0834 0.6668
0.0000 0.0000 0.0000
0.3328 0.8328 0.6655
0.0000 0.5000 0.0000
0.3335 0.3335 0.6669
0.6672 0.1672 0.3345
0.6665 0.6665 0.3331
```

Size of the total moment   0.0 μB per formula unit
Electronic total energy   -11.385 eV per atom
Space-group type   C2/m (12)
ΔE_f   -0.192 eV/atom


# 19
Ta3NbMo2: optimized geometry, GGA-PBE.

Structure (POSCAR):
```
Ta3NbMo2
1.0
3.2476 0.0000 0.0000
0.0000 3.2476 0.0000
0.0000 0.0000 9.8357
Mo Ta Nb
2 3 1
Direct
0.5000 0.5000 0.1653
0.5000 0.5000 0.8347
0.0000 0.0000 0.0000
0.0000 0.0000 0.6754
0.0000 0.0000 0.3246
0.5000 0.5000 0.5000
```

Size of the total moment   0.0 μB per formula unit
Electronic total energy   -11.355 eV per atom
Space-group type   P4/mmm (123)
ΔE_f   -0.140 eV/atom


# 20
Ta2Nb5Mo: optimized geometry, GGA-PBE.

Structure (POSCAR):
```
Ta2Nb5Mo
1.0
4.6876 0.0000 0.0000
0.0000 5.6023 0.0000
0.0000 0.0000 10.9858
Nb Ta Mo
10 4 2
Direct
0.5000 0.1555 0.8735
0.0000 0.8524 0.7470
0.0000 0.0000 0.0000
0.0000 0.3524 0.7530
0.5000 0.6555 0.6265
0.0000 0.1476 0.2530
0.5000 0.3445 0.3735
0.0000 0.6476 0.2470
0.0000 0.5000 0.5000
0.5000 0.8445 0.1265
0.5000 0.3455 0.1135
0.5000 0.6545 0.8865
0.5000 0.1545 0.6135
0.5000 0.8455 0.3865
0.0000 0.0000 0.5000
0.0000 0.5000 0.0000
```

Polymorph energy (0 for the lowest one)   0.048 eV/atom
Size of the total moment   0.0 μB per formula unit
Electronic total energy   -10.609 eV per atom
Space-group type   Pbam (55)
ΔE_f   0.002 eV/atom